# 1
Below is a relaxed structure of SmInBi2, with properties calculated at the PBE-GGA level.

POSCAR file:
```
SmInBi2
1.0
4.268 0.000 0.000
0.000 4.268 0.000
0.000 0.000 6.632
Sm In Bi
1 1 2
Direct
0.000 0.000 0.000
0.000 0.000 0.500
0.500 0.500 0.241
0.500 0.500 0.759
```

Computed properties:
total magnetic moment: 0.00 μB per formula unit
symmetry: P4/mmm (123)
energy above the most stable polymorph in this dataset: 0.000 eV/atom
calculated formation energy: -0.434 eV/atom
VASP energy: -4.238 eV/atom

# 2
Below is a relaxed structure of DyErCuPb, with properties calculated at the PBE-GGA level.

POSCAR file:
```
DyErCuPb
1.0
0.000 3.661 3.661
3.661 0.000 3.661
3.661 3.661 0.000
Dy Er Cu Pb
1 1 1 1
Direct
0.000 0.000 0.000
0.500 0.500 0.500
0.750 0.750 0.750
0.250 0.250 0.250
```

Computed properties:
total magnetic moment: 0.01 μB per formula unit
symmetry: F-43m (216)
calculated formation energy: -0.287 eV/atom
VASP energy: -4.529 eV/atom

# 3
Below is a relaxed structure of InPb2O, with properties calculated at the PBE-GGA level.

POSCAR file:
```
InPb2O
1.0
0.000 3.598 3.598
3.598 0.000 3.598
3.598 3.598 0.000
In Pb O
1 2 1
Direct
0.000 0.000 0.000
0.250 0.250 0.250
0.750 0.750 0.750
0.500 0.500 0.500
```

Computed properties:
total magnetic moment: 0.00 μB per formula unit
raw formation energy: 0.14 eV/atom
symmetry: Fm-3m (225)
energy above the most stable polymorph in this dataset: 0.328 eV/atom
VASP energy: -3.639 eV/atom

# 4
Below is a relaxed structure of VGa2WS, with properties calculated at the PBE-GGA level.

POSCAR file:
```
VGa2WS
1.0
4.642 0.000 0.000
0.000 4.642 0.000
0.000 0.000 4.349
V Ga W S
1 2 1 1
Direct
0.000 0.000 0.000
0.000 0.500 0.500
0.500 0.000 0.500
0.500 0.500 0.000
0.500 0.500 0.500
```

Computed properties:
total magnetic moment: 0.00 μB per formula unit
raw formation energy: 1.11 eV/atom
symmetry: P4/mmm (123)
VASP energy: -5.345 eV/atom

# 5
Below is a relaxed structure of Fe2SiOsPt, with properties calculated at the PBE-GGA level.

POSCAR file:
```
Fe2SiOsPt
1.0
4.463 0.000 0.000
0.000 4.463 0.000
0.000 0.000 4.797
Fe Si Os Pt
2 1 1 1
Direct
0.000 0.500 0.000
0.500 0.000 0.000
0.000 0.000 0.500
0.500 0.500 0.500
0.500 0.500 0.000
```

Computed properties:
total magnetic moment: 0.22 μB per formula unit
raw formation energy: 2.09 eV/atom
symmetry: P4/mmm (123)
VASP energy: -5.830 eV/atom

# 6
Below is a relaxed structure of RbReF3, with properties calculated at the PBE-GGA level.

POSCAR file:
```
RbReF3
1.0
4.921 0.000 0.000
0.000 4.921 0.000
0.000 0.000 4.921
Rb Re F
1 1 3
Direct
0.000 0.000 0.000
0.500 0.500 0.500
0.000 0.000 0.500
0.000 0.500 0.000
0.500 0.000 0.000
```

Computed properties:
total magnetic moment: 5.00 μB per formula unit
raw formation energy: -0.07 eV/atom
symmetry: Pm-3m (221)
energy above the most stable polymorph in this dataset: 1.231 eV/atom
VASP energy: -3.874 eV/atom

# 7
Below is a relaxed structure of KBaNb, with properties calculated at the PBE-GGA level.

POSCAR file:
```
KBaNb
1.0
7.278 0.000 0.000
-3.639 6.303 0.000
0.000 0.000 12.618
K Ba Nb
2 2 2
Direct
0.333 0.667 0.250
0.667 0.333 0.750
0.000 0.000 0.250
0.000 0.000 0.750
0.000 0.000 0.000
0.000 0.000 0.500
```

Computed properties:
total magnetic moment: 5.52 μB per formula unit
symmetry: P6_3/mmc (194)
energy above the most stable polymorph in this dataset: 1.698 eV/atom
calculated formation energy: 2.101 eV/atom
VASP energy: -2.262 eV/atom

# 8
Below is a relaxed structure of SrGe5P4, with properties calculated at the PBE-GGA level.

POSCAR file:
```
SrGe5P4
1.0
7.210 0.000 0.000
0.000 10.417 0.000
0.000 0.000 5.817
Sr Ge P
2 10 8
Direct
0.250 0.250 0.074
0.750 0.750 0.926
0.046 0.543 0.292
0.046 0.957 0.292
0.250 0.750 0.670
0.454 0.543 0.292
0.454 0.957 0.292
0.546 0.043 0.708
0.546 0.457 0.708
0.750 0.250 0.330
0.954 0.043 0.708
0.954 0.457 0.708
0.030 0.250 0.549
0.250 0.553 0.919
0.250 0.947 0.919
0.470 0.250 0.549
0.530 0.750 0.451
0.750 0.053 0.081
0.750 0.447 0.081
0.970 0.750 0.451
```

Computed properties:
total magnetic moment: 0.00 μB per formula unit
symmetry: Pmmn (59)
calculated formation energy: -0.023 eV/atom
VASP energy: -4.664 eV/atom

# 9
Below is a relaxed structure of Nd6Sb2Pd, with properties calculated at the PBE-GGA level.

POSCAR file:
```
Nd6Sb2Pd
1.0
6.476 0.000 0.000
0.000 8.357 0.000
-6.233 0.000 10.448
Nd Sb Pd
12 4 2
Direct
0.076 0.188 0.453
0.076 0.312 0.953
0.321 0.671 0.456
0.321 0.829 0.956
0.369 0.027 0.240
0.369 0.473 0.740
0.631 0.527 0.260
0.631 0.973 0.760
0.679 0.171 0.044
0.679 0.329 0.544
0.924 0.688 0.047
0.924 0.812 0.547
0.153 0.116 0.748
0.153 0.384 0.248
0.847 0.616 0.752
0.847 0.884 0.252
0.500 0.000 0.500
0.500 0.500 0.000
```

Computed properties:
total magnetic moment: 0.00 μB per formula unit
raw formation energy: -0.65 eV/atom
symmetry: P2_1/c (14)
VASP energy: -5.322 eV/atom

# 10
Below is a relaxed structure of LaAl2Ni, with properties calculated at the PBE-GGA level.

POSCAR file:
```
LaAl2Ni
1.0
2.710 -5.005 0.000
2.710 5.005 0.000
0.000 0.000 2.962
La Al Ni
1 2 1
Direct
0.000 0.000 0.000
0.000 0.500 0.500
0.500 0.000 0.500
0.500 0.500 0.000
```

Computed properties:
total magnetic moment: 0.00 μB per formula unit
symmetry: Cmmm (65)
calculated formation energy: 0.102 eV/atom
VASP energy: -4.447 eV/atom

# 11
Below is a relaxed structure of BaLaMg2, with properties calculated at the PBE-GGA level.

POSCAR file:
```
BaLaMg2
1.0
0.000 4.047 4.047
4.047 0.000 4.047
4.047 4.047 0.000
Ba La Mg
1 1 2
Direct
0.000 0.000 0.000
0.250 0.250 0.250
0.500 0.500 0.500
0.750 0.750 0.750
```

Computed properties:
total magnetic moment: 0.00 μB per formula unit
symmetry: F-43m (216)
calculated formation energy: 0.133 eV/atom
VASP energy: -2.377 eV/atom

# 12
Below is a relaxed structure of Mg2RhCl, with properties calculated at the PBE-GGA level.

POSCAR file:
```
Mg2RhCl
1.0
-1.624 1.629 7.586
1.624 -1.629 7.586
1.624 1.629 -7.586
Mg Rh Cl
2 1 1
Direct
0.000 0.000 0.000
0.787 0.287 0.500
0.366 0.866 0.500
0.599 0.599 0.000
```

Computed properties:
total magnetic moment: 0.00 μB per formula unit
raw formation energy: -0.61 eV/atom
symmetry: Imm2 (44)
energy above the most stable polymorph in this dataset: 0.198 eV/atom
VASP energy: -3.708 eV/atom